Record 1
A relaxed Rb2SmPuSe4 crystal. Source: Alexandria via LeMat-Bulk, functional PBE-GGA.

The calculation puts the uncorrected formation energy at -1581 meV per atom. The value obtained for the density of states at the Fermi level is 1.53 states/eV/atom. The total energy is -5.95 eV/atom.

The space group is P2/m (No. 10) and the conventional cell measures 7.509, 4.328 and 8.363 Å, with angles of 90.00, 107.42 and 90.00 degrees. The inequivalent atoms are Rb at (0.000, 0.000, 0.000), Rb at (0.500, 0.500, 0.000), Sm at (0.000, 0.500, 0.500), Pu at (0.500, 0.000, 0.500), Se at (0.233, 0.000, 0.699) and Se at (0.270, 0.500, 0.305).


Record 2
A relaxed EuHoAlPd crystal. Source: Alexandria via LeMat-Bulk, functional PBE-GGA.

The formation energy from the elements is -1.80 eV/f.u. The value obtained for the density of states at the Fermi level is 1.46 states/eV/atom. The total energy is -6.40 eV/atom.

The space group is F-43m (No. 216) and the conventional cell measures 7.252, 7.252 and 7.252 Å, with angles of 90.00, 90.00 and 90.00 degrees. The inequivalent atoms are Eu at (0.000, 0.000, 0.000), Ho at (0.000, 0.000, 0.500), Al at (0.250, 0.250, 0.750) and Pd at (0.250, 0.250, 0.250).


Record 3
A relaxed La2TiGe3Rh4 crystal. Source: Alexandria via LeMat-Bulk, functional PBE-GGA.

The formation energy from the elements is -8.98 eV/f.u. The value obtained for the density of states at the Fermi level is 0.58 states/eV/atom. The total energy is -7.00 eV/atom.

The space group is P-4m2 (No. 115) and the conventional cell measures 4.208, 4.208 and 10.709 Å, with angles of 90.00, 90.00 and 90.00 degrees. The inequivalent atoms are La at (0.000, 0.500, 0.246), Ti at (0.000, 0.000, 0.500), Ge at (0.000, 0.500, 0.874), Ge at (0.500, 0.500, 0.500), Rh at (0.000, 0.000, 0.000), Rh at (0.000, 0.500, 0.638) and Rh at (0.500, 0.500, 0.000).


Record 4
A relaxed MnTe2Au crystal. Source: Alexandria via LeMat-Bulk, functional PBE-GGA.

The calculation puts the uncorrected formation energy at -77 meV per atom. The value obtained for the density of states at the Fermi level is 0.30 states/eV/atom. The total energy is -4.76 eV/atom.

The space group is R-3m (No. 166, hexagonal axes) and the conventional cell measures 4.0669, 4.0669 and 24.5128 Å, with angles of 90.00, 90.00 and 120.00 degrees. The inequivalent atoms are Mn at (0.0000, 0.0000, 0.0000), Te at (0.0000, 0.0000, 0.3939) and Au at (0.0000, 0.0000, 0.5000).


Record 5
A relaxed Tl2InPbAu2 crystal. Source: Alexandria via LeMat-Bulk, functional PBE-GGA.

The formation energy from the elements is -0.53 eV/f.u. The value obtained for the density of states at the Fermi level is 0.38 states/eV/atom. The total energy is -3.04 eV/atom.

The space group is Pmc2_1 (No. 26) and the conventional cell measures 4.534, 8.842 and 7.827 Å, with angles of 90.00, 90.00 and 90.00 degrees. The inequivalent atoms are Tl at (0.000, 0.087, 0.000), Tl at (0.500, 0.172, 0.318), In at (0.000, 0.310, 0.606), Pb at (0.500, 0.431, 0.956), Au at (0.000, 0.394, 0.249) and Au at (0.500, 0.157, 0.727).


Record 6
A relaxed SmMgInPd crystal. Source: Alexandria via LeMat-Bulk, functional PBE-GGA.

The formation energy from the elements is -2.14 eV/f.u. The value obtained for the density of states at the Fermi level is 0.32 states/eV/atom. The total energy is -4.10 eV/atom.

The space group is F-43m (No. 216) and the conventional cell measures 7.097, 7.097 and 7.097 Å, with angles of 90.00, 90.00 and 90.00 degrees. The inequivalent atoms are Sm at (0.000, 0.000, 0.000), Mg at (0.000, 0.000, 0.500), In at (0.250, 0.250, 0.750) and Pd at (0.250, 0.250, 0.250).